[1]
# Tm4GaTe2 (PBE, relaxed)
data_Tm4GaTe2
_cell_length_a 9.276
_cell_length_b 9.276
_cell_length_c 9.226
_cell_angle_alpha 90.00
_cell_angle_beta 90.00
_cell_angle_gamma 90.00
_space_group_name_H-M_alt 'I 41/a m d'
_space_group_IT_number 141
loop_
_space_group_symop_operation_xyz
'x,y,z'
'-x,-y,-z'
'-y+1/4,x+3/4,z+1/4'
'y+1/4,-x+3/4,-z+1/4'
'-x+1/2,-y,z+1/2'
'x+1/2,y,-z+1/2'
'y+1/4,-x+1/4,z+3/4'
'-y+1/4,x+1/4,-z+3/4'
'x,-y,-z'
'-x,y,z'
'-y+1/4,-x+1/4,-z+3/4'
'y+1/4,x+1/4,z+3/4'
'-x+1/2,y,-z+1/2'
'x+1/2,-y,z+1/2'
'y+1/4,x+3/4,-z+1/4'
'-y+1/4,-x+3/4,z+1/4'
'x+1/2,y+1/2,z+1/2'
'-x+1/2,-y+1/2,-z+1/2'
'-y+3/4,x+1/4,z+3/4'
'y+3/4,-x+1/4,-z+3/4'
'-x,-y+1/2,z'
'x,y+1/2,-z'
'y+3/4,-x+3/4,z+1/4'
'-y+3/4,x+3/4,-z+1/4'
'x+1/2,-y+1/2,-z+1/2'
'-x+1/2,y+1/2,z+1/2'
'-y+3/4,-x+3/4,-z+1/4'
'y+3/4,x+3/4,z+1/4'
'-x,y+1/2,-z'
'x,-y+1/2,z'
'y+3/4,x+1/4,-z+3/4'
'-y+3/4,-x+1/4,z+3/4'
loop_
_atom_site_label
_atom_site_fract_x
_atom_site_fract_y
_atom_site_fract_z
_atom_site_occupancy
Tm1 0.000 0.050 0.177 1
Ga1 0.000 0.250 0.875 1
Te1 0.000 0.000 0.500 1
# Crystal system = tetragonal
# Energy relative to the lowest polymorph listed for this composition = 0.0 meV/atom
# Formation energy without anion corrections = -5.48 eV/f.u.

=====

[2]
# Na2AgGe (PBE, relaxed)
data_Na2AgGe
_cell_length_a 3.803
_cell_length_b 3.803
_cell_length_c 6.108
_cell_angle_alpha 90.00
_cell_angle_beta 90.00
_cell_angle_gamma 90.00
_space_group_name_H-M_alt 'P 4/m m m'
_space_group_IT_number 123
_space_group_name_Hall '-P 4 2'
loop_
_atom_site_label
_atom_site_fract_x
_atom_site_fract_y
_atom_site_fract_z
_atom_site_occupancy
Na1 0.000 0.000 0.247 1
Ag1 0.500 0.500 0.500 1
Ge1 0.500 0.500 0.000 1
# Crystal system = tetragonal
# Formation enthalpy at 0 K = 0.3 eV/f.u.

=====

[3]
# Tl4GaHg (PBE, relaxed)
data_Tl4GaHg
_cell_length_a 16.501
_cell_length_b 8.664
_cell_length_c 5.299
_cell_angle_alpha 90.00
_cell_angle_beta 107.76
_cell_angle_gamma 90.00
_space_group_name_H-M_alt 'C 1 2/m 1'
_space_group_IT_number 12
loop_
_space_group_symop_operation_xyz
'x,y,z'
'-x,-y,-z'
'-x,y,-z'
'x,-y,z'
'x+1/2,y+1/2,z'
'-x+1/2,-y+1/2,-z'
'-x+1/2,y+1/2,-z'
'x+1/2,-y+1/2,z'
loop_
_atom_site_label
_atom_site_fract_x
_atom_site_fract_y
_atom_site_fract_z
_atom_site_occupancy
Tl1 0.000 0.184 0.000 1
Tl2 0.138 0.257 0.636 1
Tl3 0.184 0.500 0.180 1
Ga1 0.000 0.500 0.256 1
Hg1 0.185 0.000 0.190 1
# Crystal system = monoclinic
# Energy relative to the lowest polymorph listed for this composition = 0.0 meV/atom
# Formation enthalpy at 0 K = 0.2 eV/f.u.